This record from the Alexandria database describes crystalline Sm6Dy2Th3 at its relaxed geometry. The functional is PBE-GGA.

Geometry as CIF:
```
data_Sm6Dy2Th3
_space_group_name_H-M_alt 'R -3 m'
_space_group_IT_number 166
_space_group_name_Hall '-R 3 2"'
_cell_length_a 3.5992
_cell_length_b 3.5992
_cell_length_c 96.6513
_cell_angle_alpha 90.00
_cell_angle_beta 90.00
_cell_angle_gamma 120.00
loop_
_atom_site_label
_atom_site_fract_x
_atom_site_fract_y
_atom_site_fract_z
Sm1 0.0000 0.0000 0.0903
Sm2 0.0000 0.0000 0.1822
Sm3 0.0000 0.0000 0.3635
Dy1 0.0000 0.0000 0.4546
Th1 0.0000 0.0000 0.0000
Th2 0.0000 0.0000 0.2727
```

energy relative to the elements	0.03	eV/atom
VASP energy	-5.40	eV/atom